No. 1
Compound: Sm2Ga12Pd
Source: Alexandria via LeMat-Bulk
Functional: PBE
Structure: relaxed

Computed properties:
Spin magnetization in μB/cell: 0.00
Formation enthalpy at 0 K in eV/f.u.: -6.2
Calculated density in Mg/m³: 7.08
DFT total energy in eV per atom: -3.811

Unit cell a=6.1620 b=6.1620 c=15.3743 alpha=90.00 beta=90.00 gamma=90.00
Space group P4/nbm (No. 125, origin choice 2)
Inequivalent atoms, fractional coordinates:
1 Sm 0.2500 0.7500 0.2429 [4 per cell]
2 Ga 0.0001 0.9999 0.0897 [8 per cell]
3 Ga 0.0833 0.5833 0.4310 [8 per cell]
4 Ga 0.2500 0.2500 0.1874 [4 per cell]
5 Ga 0.2500 0.2500 0.3471 [4 per cell]
6 Pd 0.2500 0.7500 0.0000 [2 per cell]



No. 2
Compound: SmGa8Pd4
Source: Alexandria via LeMat-Bulk
Functional: PBE
Structure: relaxed

Computed properties:
Spin magnetization in μB/cell: 0.00
Formation enthalpy at 0 K in eV/f.u.: -7.2
Calculated density in Mg/m³: 8.55
DFT total energy in eV per atom: -4.377

Unit cell a=8.8892 b=8.8892 c=5.5706 alpha=90.00 beta=90.00 gamma=90.00
Space group I4/mmm (No. 139)
Inequivalent atoms, fractional coordinates:
1 Sm 0.0000 0.0000 0.0000 [2 per cell]
2 Ga 0.0000 0.2175 0.5000 [8 per cell]
3 Ga 0.0000 0.3491 0.0000 [8 per cell]
4 Pd 0.2500 0.2500 0.2500 [8 per cell]



No. 3
Compound: SmGa4Pd3
Source: Alexandria via LeMat-Bulk
Functional: PBE
Structure: relaxed

Computed properties:
Spin magnetization in μB/cell: 0.00
Formation enthalpy at 0 K in eV/f.u.: -5.0
Calculated density in Mg/m³: 8.20
DFT total energy in eV per atom: -4.671

Unit cell a=4.3128 b=4.3128 c=8.1460 alpha=90.00 beta=90.00 gamma=90.00
Space group P4/mmm (No. 123)
Inequivalent atoms, fractional coordinates:
1 Sm 0.0000 0.0000 0.0000 [1 per cell]
2 Ga 0.0000 0.5000 0.3231 [4 per cell]
3 Pd 0.0000 0.0000 0.5000 [1 per cell]
4 Pd 0.5000 0.5000 0.1608 [2 per cell]



No. 4
Compound: SmGa2Pd5
Source: Alexandria via LeMat-Bulk
Functional: PBE
Structure: relaxed

Computed properties:
Spin magnetization in μB/cell: 0.00
Formation enthalpy at 0 K in eV/f.u.: -5.5
Calculated density in Mg/m³: 9.65
DFT total energy in eV per atom: -5.281

Unit cell a=3.9118 b=7.1495 c=10.1166 alpha=90.00 beta=90.00 gamma=90.00
Space group Immm (No. 71)
Inequivalent atoms, fractional coordinates:
1 Sm 0.0000 0.0000 0.0000 [2 per cell]
2 Ga 0.0000 0.5000 0.2441 [4 per cell]
3 Pd 0.0000 0.1985 0.3588 [8 per cell]
4 Pd 0.0000 0.5000 0.0000 [2 per cell]



No. 5
Compound: SmGa4Pd4
Source: Alexandria via LeMat-Bulk
Functional: PBE
Structure: relaxed

Computed properties:
Spin magnetization in μB/cell: 0.00
Formation enthalpy at 0 K in eV/f.u.: -5.9
Calculated density in Mg/m³: 8.80
DFT total energy in eV per atom: -4.830

Unit cell a=6.1213 b=6.1213 c=8.6149 alpha=90.00 beta=90.00 gamma=90.00
Space group P4_2/nmc (No. 137, origin choice 2)
Inequivalent atoms, fractional coordinates:
1 Sm 0.2500 0.7500 0.2500 [2 per cell]
2 Ga 0.0411 0.2500 0.0659 [8 per cell]
3 Pd 0.0205 0.2500 0.3613 [8 per cell]



No. 6
Compound: SmGa6Pd6
Source: Alexandria via LeMat-Bulk
Functional: PBE
Structure: relaxed

Computed properties:
Spin magnetization in μB/cell: 0.00
Formation enthalpy at 0 K in eV/f.u.: -7.7
Calculated density in Mg/m³: 9.44
Relative energy among the computed polymorphs in meV/atom: 34
DFT total energy in eV per atom: -4.750

Unit cell a=5.2296 b=8.7300 c=9.3059 alpha=90.00 beta=90.00 gamma=90.00
Space group Immm (No. 71)
Inequivalent atoms, fractional coordinates:
1 Sm 0.0000 0.0000 0.0000 [2 per cell]
2 Ga 0.0000 0.2591 0.5000 [4 per cell]
3 Ga 0.2500 0.2500 0.2500 [8 per cell]
4 Pd 0.0000 0.0000 0.3441 [4 per cell]
5 Pd 0.0000 0.3404 0.0000 [4 per cell]
6 Pd 0.0000 0.5000 0.3164 [4 per cell]



No. 7
Compound: Sm2GaSnPd6
Source: Alexandria via LeMat-Bulk
Functional: PBE
Structure: relaxed

Computed properties:
Spin magnetization in μB/cell: 0.00
Formation enthalpy at 0 K in eV/f.u.: -6.8
Calculated density in Mg/m³: 9.54
DFT total energy in eV per atom: -5.441

Unit cell a=11.7424 b=5.5440 c=7.8968 alpha=90.00 beta=130.22 gamma=90.00
Space group C2/m (No. 12)
Inequivalent atoms, fractional coordinates:
1 Sm 0.9998 0.0000 0.2482 [4 per cell]
2 Ga 0.0000 0.5000 0.0000 [2 per cell]
3 Sn 0.0000 0.5000 0.5000 [2 per cell]
4 Pd 0.1819 0.5000 0.9365 [4 per cell]
5 Pd 0.2417 0.2527 0.2998 [8 per cell]



No. 8
Compound: SmGa2SnPd5
Source: Alexandria via LeMat-Bulk
Functional: PBE
Structure: relaxed

Computed properties:
Spin magnetization in μB/cell: 0.00
Formation enthalpy at 0 K in eV/f.u.: -5.0
Calculated density in Mg/m³: 9.38
DFT total energy in eV per atom: -5.086

Unit cell a=4.2416 b=4.2416 c=9.2565 alpha=90.00 beta=90.00 gamma=90.00
Space group P4/mmm (No. 123)
Inequivalent atoms, fractional coordinates:
1 Sm 0.0000 0.0000 0.0000 [1 per cell]
2 Ga 0.5000 0.5000 0.3660 [2 per cell]
3 Sn 0.0000 0.0000 0.5000 [1 per cell]
4 Pd 0.0000 0.5000 0.2235 [4 per cell]
5 Pd 0.5000 0.5000 0.0000 [1 per cell]



No. 9
Compound: SmGaSnPd
Source: Alexandria via LeMat-Bulk
Functional: PBE
Structure: relaxed

Computed properties:
Spin magnetization in μB/cell: 0.00
Formation enthalpy at 0 K in eV/f.u.: -2.5
Calculated density in Mg/m³: 8.63
DFT total energy in eV per atom: -4.857

Unit cell a=6.9984 b=6.9984 c=6.9984 alpha=90.00 beta=90.00 gamma=90.00
Space group F-43m (No. 216)
Inequivalent atoms, fractional coordinates:
1 Sm 0.0000 0.0000 0.0000 [4 per cell]
2 Ga 0.2500 0.2500 0.2500 [4 per cell]
3 Sn 0.0000 0.0000 0.5000 [4 per cell]
4 Pd 0.2500 0.2500 0.7500 [4 per cell]



No. 10
Compound: Sm2Ga2SnPd5
Source: Alexandria via LeMat-Bulk
Functional: PBE
Structure: relaxed

Computed properties:
Spin magnetization in μB/cell: 0.00
Formation enthalpy at 0 K in eV/f.u.: -7.2
Calculated density in Mg/m³: 9.51
DFT total energy in eV per atom: -5.268

Unit cell a=10.1392 b=10.1392 c=3.7068 alpha=90.00 beta=90.00 gamma=90.00
Space group P4/mbm (No. 127)
Inequivalent atoms, fractional coordinates:
1 Sm 0.1793 0.3207 0.0000 [4 per cell]
2 Ga 0.1191 0.6191 0.0000 [4 per cell]
3 Sn 0.0000 0.0000 0.0000 [2 per cell]
4 Pd 0.0000 0.5000 0.5000 [2 per cell]
5 Pd 0.0573 0.7900 0.5000 [8 per cell]



No. 11
Compound: Sm2GaSn3Pd4
Source: Alexandria via LeMat-Bulk
Functional: PBE
Structure: relaxed

Computed properties:
Spin magnetization in μB/cell: 0.00
Formation enthalpy at 0 K in eV/f.u.: -7.6
Calculated density in Mg/m³: 8.86
DFT total energy in eV per atom: -5.280

Unit cell a=4.4806 b=4.4806 c=10.7620 alpha=90.00 beta=90.00 gamma=90.00
Space group P-4m2 (No. 115)
Inequivalent atoms, fractional coordinates:
1 Sm 0.0000 0.5000 0.2465 [2 per cell]
2 Ga 0.5000 0.5000 0.0000 [1 per cell]
3 Sn 0.0000 0.0000 0.0000 [1 per cell]
4 Sn 0.0000 0.5000 0.6329 [2 per cell]
5 Pd 0.0000 0.0000 0.5000 [1 per cell]
6 Pd 0.0000 0.5000 0.8735 [2 per cell]
7 Pd 0.5000 0.5000 0.5000 [1 per cell]



No. 12
Compound: Sm2Ga4SnPd3
Source: Alexandria via LeMat-Bulk
Functional: PBE
Structure: relaxed

Computed properties:
Spin magnetization in μB/cell: 0.00
Formation enthalpy at 0 K in eV/f.u.: -7.2
Calculated density in Mg/m³: 8.45
DFT total energy in eV per atom: -4.833

Unit cell a=4.2936 b=4.2936 c=10.8461 alpha=90.00 beta=90.00 gamma=90.00
Space group P-4m2 (No. 115)
Inequivalent atoms, fractional coordinates:
1 Sm 0.0000 0.5000 0.2366 [2 per cell]
2 Ga 0.0000 0.0000 0.0000 [1 per cell]
3 Ga 0.0000 0.5000 0.6528 [2 per cell]
4 Ga 0.5000 0.5000 0.0000 [1 per cell]
5 Sn 0.0000 0.0000 0.5000 [1 per cell]
6 Pd 0.0000 0.5000 0.8765 [2 per cell]
7 Pd 0.5000 0.5000 0.5000 [1 per cell]



No. 13
Compound: SrSmGaPd
Source: Alexandria via LeMat-Bulk
Functional: PBE
Structure: relaxed

Computed properties:
Spin magnetization in μB/cell: 0.00
Formation enthalpy at 0 K in eV/f.u.: -1.9
Calculated density in Mg/m³: 6.77
DFT total energy in eV per atom: -4.134

Unit cell a=7.4077 b=7.4077 c=7.4077 alpha=90.00 beta=90.00 gamma=90.00
Space group F-43m (No. 216)
Inequivalent atoms, fractional coordinates:
1 Sr 0.0000 0.0000 0.0000 [4 per cell]
2 Sm 0.0000 0.0000 0.5000 [4 per cell]
3 Ga 0.2500 0.2500 0.2500 [4 per cell]
4 Pd 0.2500 0.2500 0.7500 [4 per cell]



No. 14
Compound: TbSmGa2Pd2
Source: Alexandria via LeMat-Bulk
Functional: PBE
Structure: relaxed

Computed properties:
Spin magnetization in μB/cell: 0.00
Formation enthalpy at 0 K in eV/f.u.: -5.1
Calculated density in Mg/m³: 8.89
DFT total energy in eV per atom: -5.140

Unit cell a=4.5272 b=4.5272 c=6.9598 alpha=90.00 beta=90.00 gamma=120.00
Space group P-3m1 (No. 164)
Inequivalent atoms, fractional coordinates:
1 Tb 0.0000 0.0000 0.0000 [1 per cell]
2 Sm 0.0000 0.0000 0.5000 [1 per cell]
3 Ga 0.3333 0.6667 0.7590 [2 per cell]
4 Pd 0.3333 0.6667 0.2390 [2 per cell]



No. 15
Compound: Sm2TmGa3Pd4
Source: Alexandria via LeMat-Bulk
Functional: PBE
Structure: relaxed

Computed properties:
Spin magnetization in μB/cell: 0.00
Formation enthalpy at 0 K in eV/f.u.: -8.0
Calculated density in Mg/m³: 8.99
DFT total energy in eV per atom: -5.179

Unit cell a=4.2307 b=4.2307 c=11.3969 alpha=90.00 beta=90.00 gamma=90.00
Space group P-4m2 (No. 115)
Inequivalent atoms, fractional coordinates:
1 Sm 0.0000 0.5000 0.2282 [2 per cell]
2 Tm 0.0000 0.0000 0.5000 [1 per cell]
3 Ga 0.0000 0.5000 0.8759 [2 per cell]
4 Ga 0.5000 0.5000 0.5000 [1 per cell]
5 Pd 0.0000 0.0000 0.0000 [1 per cell]
6 Pd 0.0000 0.5000 0.6561 [2 per cell]
7 Pd 0.5000 0.5000 0.0000 [1 per cell]



No. 16
Compound: SmTmGaPd
Source: Alexandria via LeMat-Bulk
Functional: PBE
Structure: relaxed

Computed properties:
Spin magnetization in μB/cell: 0.00
Formation enthalpy at 0 K in eV/f.u.: -2.9
Calculated density in Mg/m³: 8.81
Relative energy among the computed polymorphs in meV/atom: 0
DFT total energy in eV per atom: -5.075

Unit cell a=4.4813 b=3.7639 c=11.0745 alpha=90.00 beta=90.00 gamma=90.00
Space group Amm2 (No. 38)
Inequivalent atoms, fractional coordinates:
1 Sm 0.0000 0.0000 0.0000 [2 per cell]
2 Tm 0.5000 0.0000 0.7139 [2 per cell]
3 Ga 0.5000 0.0000 0.4286 [2 per cell]
4 Pd 0.0000 0.0000 0.2773 [2 per cell]



No. 17
Compound: SmTmGaPd
Source: Alexandria via LeMat-Bulk
Functional: PBE
Structure: relaxed

Computed properties:
Spin magnetization in μB/cell: 0.00
Formation enthalpy at 0 K in eV/f.u.: -2.7
Calculated density in Mg/m³: 9.07
Relative energy among the computed polymorphs in meV/atom: 40
DFT total energy in eV per atom: -5.035

Unit cell a=7.1329 b=7.1329 c=7.1329 alpha=90.00 beta=90.00 gamma=90.00
Space group F-43m (No. 216)
Inequivalent atoms, fractional coordinates:
1 Sm 0.0000 0.0000 0.0000 [4 per cell]
2 Tm 0.0000 0.0000 0.5000 [4 per cell]
3 Ga 0.2500 0.2500 0.7500 [4 per cell]
4 Pd 0.2500 0.2500 0.2500 [4 per cell]



No. 18
Compound: SmTmGa2Pd5
Source: Alexandria via LeMat-Bulk
Functional: PBE
Structure: relaxed

Computed properties:
Spin magnetization in μB/cell: 0.00
Formation enthalpy at 0 K in eV/f.u.: -7.1
Calculated density in Mg/m³: 9.99
DFT total energy in eV per atom: -5.364

Unit cell a=4.2135 b=4.2135 c=9.2765 alpha=90.00 beta=90.00 gamma=90.00
Space group P4/mmm (No. 123)
Inequivalent atoms, fractional coordinates:
1 Sm 0.0000 0.0000 0.0000 [1 per cell]
2 Tm 0.0000 0.0000 0.5000 [1 per cell]
3 Ga 0.5000 0.5000 0.3680 [2 per cell]
4 Pd 0.0000 0.5000 0.2270 [4 per cell]
5 Pd 0.5000 0.5000 0.0000 [1 per cell]



No. 19
Compound: SmYGaPd
Source: Alexandria via LeMat-Bulk
Functional: PBE
Structure: relaxed

Computed properties:
Spin magnetization in μB/cell: 0.00
Formation enthalpy at 0 K in eV/f.u.: -2.9
Calculated density in Mg/m³: 7.21
Relative energy among the computed polymorphs in meV/atom: 0
DFT total energy in eV per atom: -5.571

Unit cell a=4.5250 b=3.8093 c=11.1025 alpha=90.00 beta=90.00 gamma=90.00
Space group Amm2 (No. 38)
Inequivalent atoms, fractional coordinates:
1 Sm 0.0000 0.0000 0.0000 [2 per cell]
2 Y 0.5000 0.0000 0.7158 [2 per cell]
3 Ga 0.5000 0.0000 0.4323 [2 per cell]
4 Pd 0.0000 0.0000 0.2824 [2 per cell]



No. 20
Compound: SmYGa2Pd2
Source: Alexandria via LeMat-Bulk
Functional: PBE
Structure: relaxed

Computed properties:
Spin magnetization in μB/cell: 0.00
Formation enthalpy at 0 K in eV/f.u.: -5.1
Calculated density in Mg/m³: 7.92
DFT total energy in eV per atom: -5.450

Unit cell a=4.5106 b=4.5106 c=7.0352 alpha=90.00 beta=90.00 gamma=120.00
Space group P-3m1 (No. 164)
Inequivalent atoms, fractional coordinates:
1 Sm 0.0000 0.0000 0.0000 [1 per cell]
2 Y 0.0000 0.0000 0.5000 [1 per cell]
3 Ga 0.3333 0.6667 0.2605 [2 per cell]
4 Pd 0.3333 0.6667 0.7380 [2 per cell]